[1]
YErBr | GGA-PBE | relaxed

## Properties
Uncorrected formation energy, eV per atom: -0.623
Energy above the most stable polymorph in this dataset, eV/atom: 0.115
D(E_F), states/eV per cell: 4.6

Cell lengths 3.6176, 6.1774, 10.0286 Å; angles 118.13, 90.22, 106.81 degrees
Last column: nearest neighbours and their distance in Å.
Atoms (fractional coordinates):
Er (0.2043, 0.4086, 0.7690)  3 Br 2.93-2.98
Er (0.7957, 0.5914, 0.2310)  3 Br 2.93-2.98
Br (0.4067, 0.8193, 0.0917)  3 Er 2.93-2.98, 1 Y 3.05
Br (0.5933, 0.1807, 0.9083)  3 Er 2.93-2.98, 1 Y 3.05
Y (0.3953, 0.7883, 0.5661)  1 Br 3.05, 1 Y 3.36
Y (0.6047, 0.2117, 0.4339)  1 Br 3.05, 1 Y 3.36

=====

[2]
LiZrTeI2 | GGA-PBE | relaxed

## Properties
Uncorrected formation energy, eV per atom: -0.525
Energy above the most stable polymorph in this dataset, eV/atom: 0.000
D(E_F), states/eV per cell: 1.9

Cell lengths 5.8162, 5.8162, 5.6556 Å; angles 90.00, 90.00, 90.00 degrees
Last column: nearest neighbours and their distance in Å.
Atoms (fractional coordinates):
Te (0.0000, 0.0000, 0.5000)  2 Zr 2.83
Zr (0.0000, 0.0000, 0.0000)  2 Te 2.83, 4 I 2.91
I (0.5000, 0.0000, 0.0000)  2 Zr 2.91
I (0.0000, 0.5000, 0.0000)  2 Zr 2.91
Li (0.5000, 0.5000, 0.5000)  8 I 4.06, 4 Te 4.11

=====

[3]
LiNd3Pd3 | GGA-PBE | relaxed

## Properties
Energy above the most stable polymorph in this dataset, eV/atom: 0.104
D(E_F), states/eV per cell: 8.5

Cell lengths 6.8507, 6.8507, 7.6054 Å; angles 93.38, 93.38, 110.61 degrees
Last column: nearest neighbours and their distance in Å.
Atoms (fractional coordinates):
Li (0.2784, 0.2784, 0.0294)  4 Pd 2.48-2.76
Li (0.7216, 0.7216, 0.9706)  4 Pd 2.48-2.76
Nd (0.1877, 0.8123, 0.5000)  6 Pd 2.91-3.07
Nd (0.3605, 0.3605, 0.6538)  1 Li 2.99, 5 Pd 3.02-3.19
Nd (0.8123, 0.1877, 0.5000)  6 Pd 2.91-3.07
Nd (0.7702, 0.2298, 0.0000)  6 Pd 3.03-3.20, 2 Li 3.37
Nd (0.2298, 0.7702, 0.0000)  6 Pd 3.03-3.20, 2 Li 3.37
Nd (0.6395, 0.6395, 0.3462)  1 Li 2.99, 5 Pd 3.02-3.19
Pd (0.5637, 0.8370, 0.7140)  1 Li 2.48
Pd (0.9876, 0.9876, 0.2064)  2 Li 2.60-2.76, 2 Pd 2.89
Pd (0.4363, 0.1630, 0.2860)  1 Li 2.48
Pd (0.8370, 0.5637, 0.7140)  1 Li 2.48
Pd (0.0124, 0.0124, 0.7936)  2 Li 2.60-2.76, 2 Pd 2.89
Pd (0.1630, 0.4363, 0.2860)  1 Li 2.48

=====

[4]
LuB2Rh3 | GGA-PBE | relaxed

## Properties
Total energy, eV/cell: -44.21
D(E_F), states/eV per cell: 1.7

Cell lengths 5.3980, 5.3980, 3.1182 Å; angles 90.00, 90.00, 120.00 degrees
Last column: nearest neighbours and their distance in Å.
Atoms (fractional coordinates):
Rh (0.5000, 0.0000, 0.0000)  4 B 2.20
Rh (0.5000, 0.5000, 0.0000)  4 B 2.20
Rh (0.0000, 0.5000, 0.0000)  4 B 2.20
Lu (0.0000, 0.0000, 0.5000)  6 B 3.12, 12 Rh 3.12, 2 Lu 3.12
B (0.3333, 0.6667, 0.5000)  6 Rh 2.20
B (0.6667, 0.3333, 0.5000)  6 Rh 2.20

=====

[5]
Ca2CdHg4 | GGA-PBE | relaxed

## Properties
Energy above the most stable polymorph in this dataset, eV/atom: 0.000
D(E_F), states/eV per cell: 3.9

Cell lengths 5.1743, 5.1743, 8.8187 Å; angles 72.94, 72.94, 60.00 degrees
Last column: nearest neighbours and their distance in Å.
Atoms (fractional coordinates):
Hg (0.3806, 0.3806, 0.8582)  4 Ca 3.09-3.14, 3 Cd 3.21
Hg (0.6194, 0.6194, 0.1418)  4 Ca 3.09-3.14, 3 Cd 3.21
Hg (0.8709, 0.8709, 0.3872)  4 Ca 3.12-3.24, 1 Cd 3.21
Hg (0.1291, 0.1291, 0.6128)  4 Ca 3.12-3.24, 1 Cd 3.21
Ca (0.2543, 0.2543, 0.2370)  8 Hg 3.09-3.24
Ca (0.7457, 0.7457, 0.7630)  8 Hg 3.09-3.24
Cd (0.0000, 0.0000, 0.0000)  8 Hg 3.21, 6 Ca 3.58

=====

[6]
Li5Sn2Bi5 | GGA-PBE | relaxed

## Properties
Total energy, eV/cell: -39.63
D(E_F), states/eV per cell: 2.3

Cell lengths 4.8463, 6.7697, 11.7501 Å; angles 106.91, 90.00, 110.97 degrees
Last column: nearest neighbours and their distance in Å.
Atoms (fractional coordinates):
Sn (0.8856, 0.7712, 0.2003)  4 Bi 2.97-3.12, 3 Li 3.27-3.28
Sn (0.1144, 0.2288, 0.7997)  4 Bi 2.97-3.12, 3 Li 3.27-3.28
Li (0.6419, 0.2838, 0.9945)  3 Bi 3.03-3.24, 3 Sn 3.27-3.28
Li (0.3011, 0.6022, 0.6234)  5 Bi 2.95-3.23, 1 Li 3.27
Li (0.5000, 0.0000, 0.5000)  4 Bi 2.91
Li (0.6989, 0.3978, 0.3766)  5 Bi 2.95-3.23, 1 Li 3.27
Li (0.3581, 0.7162, 0.0055)  3 Bi 3.03-3.24, 3 Sn 3.27-3.28
Bi (0.0830, 0.1659, 0.4193)  5 Li 2.91-3.04, 1 Sn 2.97, 1 Bi 3.24
Bi (0.9170, 0.8341, 0.5807)  5 Li 2.91-3.04, 1 Sn 2.97, 1 Bi 3.24
Bi (0.2411, 0.4823, 0.2146)  2 Sn 3.07, 3 Li 3.23-3.24, 1 Bi 3.30
Bi (0.7589, 0.5177, 0.7854)  2 Sn 3.07, 3 Li 3.23-3.24, 1 Bi 3.30
Bi (0.0000, 0.0000, 0.0000)  4 Li 3.03, 2 Sn 3.12, 2 Bi 3.30

=====

[7]
ZnSi2Ni | GGA-PBE | relaxed

## Properties
Uncorrected formation energy, eV per atom: 0.125
D(E_F), states/eV per cell: 1.9

Cell lengths 4.6034, 4.6034, 4.6034 Å; angles 132.04, 132.04, 70.16 degrees
Last column: nearest neighbours and their distance in Å.
Atoms (fractional coordinates):
Ni (0.7500, 0.2500, 0.5000)  4 Zn 2.65, 8 Si 2.65
Si (0.5000, 0.5000, 0.0000)  4 Si 2.65, 4 Ni 2.65, 4 Zn 2.65
Si (0.0000, 0.0000, 0.0000)  4 Si 2.65, 4 Ni 2.65, 4 Zn 2.65
Zn (0.2500, 0.7500, 0.5000)  4 Ni 2.65, 8 Si 2.65

=====

[8]
SrAsOs2 | GGA-PBE | relaxed

## Properties
Total energy, eV/cell: -54.53
D(E_F), states/eV per cell: 8.1

Cell lengths 4.8768, 4.8768, 9.1419 Å; angles 74.53, 74.53, 90.00 degrees
Last column: nearest neighbours and their distance in Å.
Atoms (fractional coordinates):
As (0.2500, 0.7500, 0.5000)  4 Os 2.45
As (0.5000, 0.5000, 0.0000)  4 Os 2.45
Os (0.3509, 0.6250, 0.2500)  2 As 2.45, 2 Os 2.45
Os (0.3991, 0.1250, 0.2500)  2 As 2.45, 2 Os 2.45
Os (0.8750, 0.6491, 0.7500)  2 As 2.45, 2 Os 2.45
Os (0.3750, 0.6009, 0.7500)  2 As 2.45, 2 Os 2.45
Sr (0.7500, 0.2500, 0.5000)  8 Os 3.37-3.54, 4 As 3.45
Sr (0.0000, 0.0000, 0.0000)  8 Os 3.37-3.54, 4 As 3.45

=====

> What is the D(E_F) in the second record?

1.9 states/eV per cell